No. 1
{"formula": "Pr4ZnIn", "functional": "PBE-GGA", "state": "relaxed", "lattice_angstrom": [[6.510, -1.907, 0.000], [6.510, 1.907, 0.000], [-2.330, 0.000, 7.438]], "species": ["Pr", "Pr", "Pr", "Pr", "Zn", "In"], "frac_coords": [[0.145, 0.145, 0.336], [0.153, 0.153, 0.815], [0.847, 0.847, 0.185], [0.855, 0.855, 0.664], [0.500, 0.500, 0.500], [0.500, 0.500, 0.000]], "dos_at_fermi_per_ev_cell": 7.1, "de_polymorph_ev_per_atom": 0.000, "ef_ev_per_atom": -0.230, "magmom_total_mub_per_atom": 0.1672}

***

No. 2
{"formula": "AlCu2Sb", "functional": "PBE-GGA", "state": "relaxed", "lattice_angstrom": [[2.980, 0.000, 0.000], [0.000, 3.647, 0.000], [0.000, 0.000, 6.172]], "species": ["Al", "Cu", "Cu", "Sb"], "frac_coords": [[0.000, 0.000, 0.000], [0.500, 0.500, 0.201], [0.500, 0.500, 0.799], [0.000, 0.000, 0.500]], "dos_at_fermi_per_ev_cell": 1.3, "raw_formation_energy_ev_per_atom": 0.107, "de_polymorph_ev_per_atom": 0.074, "magmom_total_mub_per_atom": 0.0000}

***

No. 3
{"formula": "Cs2MnPbBr6", "functional": "PBE-GGA", "state": "relaxed", "lattice_angstrom": [[0.000, 5.701, 5.701], [5.701, 0.000, 5.701], [5.701, 5.701, 0.000]], "species": ["Cs", "Cs", "Mn", "Pb", "Br", "Br", "Br", "Br", "Br", "Br"], "frac_coords": [[0.250, 0.250, 0.250], [0.750, 0.750, 0.750], [0.000, 0.000, 0.000], [0.500, 0.500, 0.500], [0.236, 0.236, 0.764], [0.236, 0.764, 0.236], [0.236, 0.764, 0.764], [0.764, 0.236, 0.236], [0.764, 0.236, 0.764], [0.764, 0.764, 0.236]], "dos_at_fermi_per_ev_cell": 0.0, "raw_formation_energy_ev_per_atom": -1.249, "magmom_total_mub_per_atom": 0.5000}

***

No. 4
{"formula": "Rb2YZnPt", "functional": "PBE-GGA", "state": "relaxed", "lattice_angstrom": [[6.524, 0.000, 0.000], [0.000, 6.524, 0.000], [0.000, 0.000, 5.358]], "species": ["Rb", "Rb", "Y", "Zn", "Pt"], "frac_coords": [[0.000, 0.500, 0.000], [0.500, 0.000, 0.000], [0.000, 0.000, 0.500], [0.500, 0.500, 0.500], [0.000, 0.000, 0.000]], "dos_at_fermi_per_ev_cell": 3.2, "ef_ev_per_atom": 0.206, "magmom_total_mub_per_atom": 0.0000}